Compound: BaGa2TeBr
Source: Alexandria
Functional: PBE
Structure: optimized geometry

Cell lengths 5.411, 7.148, 5.411 Å; angles 90.00, 90.00, 90.00 degrees
Fractional positions:
Te1 0.000 0.000 0.000
Ba1 0.500 0.500 0.500
Ga1 0.000 0.000 0.500
Br1 0.000 0.500 0.000
Ga2 0.500 0.000 0.000

Output
V = 41.9 Å³ per atom
Energy relative to the elements, uncorrected = -187 meV/atom

Compound: NaZr2FeCl
Source: Alexandria
Functional: PBE
Structure: optimized geometry

Cell lengths 4.649, 5.936, 4.649 Å; angles 90.00, 90.00, 90.00 degrees
Fractional positions:
Zr1 0.500 0.000 0.000
Fe1 0.000 0.000 0.000
Na1 0.000 0.500 0.000
Cl1 0.500 0.500 0.500
Zr2 0.000 0.000 0.500

Output
V = 25.7 Å³ per atom
Energy relative to the elements, uncorrected = 277 meV/atom